(1)
# Bi3BO6 PBE relaxed
# - formation energy without anion corrections (eV per atom) = -1.49
data_Bi3BO6
_chemical_formula_sum 'Bi12 B4 O24'
_cell_length_a 12.529
_cell_length_b 9.781
_cell_length_c 4.999
_cell_angle_alpha 90.00
_cell_angle_beta 90.00
_cell_angle_gamma 90.00
_symmetry_space_group_name_H-M 'P n m a'
_symmetry_Int_Tables_number 62
_symmetry_space_group_name_Hall '-P 2ac 2n'
loop_
_atom_site_label
_atom_site_fract_x
_atom_site_fract_y
_atom_site_fract_z
Bi1 0.070 0.250 0.010
Bi2 0.139 0.562 0.502
B1 0.213 0.750 0.056
O1 0.031 0.090 0.281
O2 0.097 0.750 0.179
O3 0.219 0.750 0.767
O4 0.238 0.122 0.676

(2)
A geometry-optimized AcTbCd structure. Source: Alexandria via LeMat-Bulk, functional PBE.

Geometry as CIF:
```
data_AcTbCd
_chemical_formula_sum 'Ac2 Tb2 Cd2'
_cell_length_a 5.050
_cell_length_b 5.050
_cell_length_c 8.072
_cell_angle_alpha 90.00
_cell_angle_beta 90.00
_cell_angle_gamma 90.00
_symmetry_space_group_name_H-M 'P 4/n m m'
_symmetry_Int_Tables_number 129
loop_
_symmetry_equiv_pos_as_xyz
'x,y,z'
'-x,-y,-z'
'-y+1/2,x,z'
'y+1/2,-x,-z'
'-x+1/2,-y+1/2,z'
'x+1/2,y+1/2,-z'
'y,-x+1/2,z'
'-y,x+1/2,-z'
'x+1/2,-y,-z'
'-x+1/2,y,z'
'-y,-x,-z'
'y,x,z'
'-x,y+1/2,-z'
'x,-y+1/2,z'
'y+1/2,x+1/2,-z'
'-y+1/2,-x+1/2,z'
loop_
_atom_site_label
_atom_site_fract_x
_atom_site_fract_y
_atom_site_fract_z
Ac1 0.250 0.250 0.140
Tb1 0.250 0.750 0.500
Cd1 0.250 0.250 0.736
```

Number 1: magnetization 0.00 Bohr magnetons per cell, distance to the lowest polymorph of the same formula 0.0 meV/atom. Number 2: magnetization 0.00 Bohr magnetons per cell, distance to the lowest polymorph of the same formula 9.6 meV/atom.